Below is an optimized crystal structure of Sb2AsS5, with properties calculated at the PBE-GGA level.

```
Sb2AsS5
1.0
-2.968 -2.450 -3.744
1.127 -4.128 5.657
-10.332 4.429 5.291
S Sb As
10 4 2
direct
0.327 0.654 0.449
0.948 0.895 0.882
0.948 0.895 0.618
0.327 0.654 0.051
0.673 0.346 0.949
0.052 0.105 0.118
0.279 0.557 0.750
0.673 0.346 0.551
0.052 0.105 0.382
0.721 0.443 0.250
0.831 0.663 0.063
0.169 0.337 0.563
0.169 0.337 0.937
0.831 0.663 0.437
0.168 0.335 0.250
0.832 0.665 0.750
```

Properties
SG   Cmcm
Uncorrected formation energy   -0.06 eV/atom

=====

Below is an optimized crystal structure of MgZr2ScV, with properties calculated at the PBE-GGA level.

```
MgZr2ScV
1.0
-0.019 -3.778 3.081
-2.263 -2.878 -3.543
4.368 -1.382 -1.667
V Mg Sc Zr
1 1 1 2
direct
0.500 0.500 0.500
0.000 0.500 0.000
0.000 0.000 0.000
0.000 0.000 0.500
0.500 0.000 0.000
```

Properties
Formation enthalpy at 0 K   1.46 eV per atom
SG   P4/mmm

=====

Below is an optimized crystal structure of CeSm12Dy7, with properties calculated at the PBE-GGA level.

```
CeSm12Dy7
1.0
0.115 2.645 -5.524
9.082 -6.965 -0.881
-10.368 -4.919 -0.307
Dy Sm Ce
7 12 1
direct
0.879 0.000 0.243
0.879 0.242 0.000
0.636 0.757 0.758
0.364 0.243 0.242
0.121 0.758 0.000
0.121 0.000 0.757
0.500 0.000 0.000
0.086 0.173 0.587
0.499 0.413 0.586
0.067 0.645 0.645
0.501 0.587 0.414
0.087 0.586 0.173
0.422 0.355 0.999
0.933 0.355 0.355
0.914 0.827 0.413
0.913 0.414 0.827
0.577 0.999 0.645
0.578 0.645 0.001
0.423 0.001 0.355
0.000 0.000 0.000
```

Properties
Formation enthalpy at 0 K   0.26 eV per atom
SG   R-3m